(1)
The following is a DFT calculation (GGA-PBE) of crystalline Si2SbAs at its relaxed geometry.

Cell and atoms, written as POSCAR:
```
Si2SbAs
1.0
-3.439 -1.221 1.106
-1.210 -0.688 -4.522
1.210 -4.509 -1.217
As Sb Si
1 1 2
direct
0.500 0.250 0.250
0.500 0.750 0.750
0.000 0.988 0.037
0.000 0.512 0.463
```

Computed properties:
Space-group type: P2/m (10)
Uncorrected formation energy, meV per atom: 296

***

(2)
The following is a DFT calculation (GGA-PBE) of crystalline SiSbAs2 at its relaxed geometry.

Cell and atoms, written as POSCAR:
```
SiSbAs2
1.0
3.837 0.000 0.000
0.000 4.911 -0.020
0.000 1.722 4.931
As Sb Si
2 1 1
direct
0.000 0.989 0.935
0.500 0.294 0.233
0.000 0.491 0.502
0.500 0.726 0.830
```

Computed properties:
Space-group type: Pm (6)
Uncorrected formation energy, meV per atom: 143

***

(3)
The following is a DFT calculation (GGA-PBE) of crystalline Si2SbAs at its relaxed geometry.

Cell and atoms, written as POSCAR:
```
Si2SbAs
1.0
5.887 0.785 0.000
2.694 5.292 0.000
-4.290 -3.039 2.762
As Sb Si
1 1 2
direct
0.500 0.500 0.000
0.750 0.250 0.500
0.000 0.000 0.000
0.250 0.750 0.500
```

Computed properties:
Space-group type: I-4m2 (119)
Uncorrected formation energy, meV per atom: 571

***

(4)
The following is a DFT calculation (GGA-PBE) of crystalline SiSbAs2 at its relaxed geometry.

Cell and atoms, written as POSCAR:
```
SiSbAs2
1.0
-6.228 -0.257 -2.497
0.315 -6.706 -0.094
-4.611 -3.618 2.847
Sb As Si
2 4 2
direct
0.000 0.000 0.000
0.750 0.250 0.500
0.574 0.125 0.250
0.176 0.625 0.250
0.375 0.426 0.750
0.875 0.824 0.750
0.500 0.500 0.000
0.250 0.750 0.500
```

Computed properties:
Space-group type: I-42d (122)
Uncorrected formation energy, meV per atom: 223

***

(5)
The following is a DFT calculation (GGA-PBE) of crystalline SiSbAs2 at its relaxed geometry.

Cell and atoms, written as POSCAR:
```
SiSbAs2
1.0
3.270 0.019 0.000
-1.137 3.066 0.000
0.000 0.000 8.316
As Sb Si
2 1 1
direct
0.000 0.000 0.957
0.000 0.000 0.543
0.500 0.500 0.250
0.500 0.500 0.750
```

Computed properties:
Space-group type: Cmmm (65)
Uncorrected formation energy, meV per atom: 416

***

(6)
The following is a DFT calculation (GGA-PBE) of crystalline Si2SbAs at its relaxed geometry.

Cell and atoms, written as POSCAR:
```
Si2SbAs
1.0
-3.954 1.728 -2.417
-4.814 -1.070 -0.369
-2.916 3.187 3.129
As Sb Si
1 1 2
direct
0.750 0.750 0.750
0.250 0.250 0.250
0.011 0.011 0.917
0.489 0.489 0.583
```

Computed properties:
Space-group type: C2/m (12)
Uncorrected formation energy, meV per atom: 492

***

(7)
The following is a DFT calculation (GGA-PBE) of crystalline Si2SbAs at its relaxed geometry.

Cell and atoms, written as POSCAR:
```
Si2SbAs
1.0
-0.666 -3.056 1.497
3.830 0.526 2.778
-2.638 2.156 3.229
As Sb Si
1 1 2
direct
0.500 0.000 0.500
0.000 0.500 0.500
0.000 0.000 0.000
0.500 0.500 0.000
```

Computed properties:
Space-group type: Pmmm (47)
Uncorrected formation energy, meV per atom: 572

***

(8)
The following is a DFT calculation (GGA-PBE) of crystalline SiSbAs2 at its relaxed geometry.

Cell and atoms, written as POSCAR:
```
SiSbAs2
1.0
6.294 0.023 -0.028
3.829 4.995 0.028
-4.868 -2.899 2.741
As Sb Si
2 1 1
direct
0.929 0.929 0.000
0.243 0.743 0.500
0.560 0.560 0.000
0.768 0.268 0.500
```

Computed properties:
Space-group type: Imm2 (44)
Uncorrected formation energy, meV per atom: 328

***

(9)
The following is a DFT calculation (GGA-PBE) of crystalline Si2SbAs at its relaxed geometry.

Cell and atoms, written as POSCAR:
```
Si2SbAs
1.0
-0.146 -2.610 -2.005
2.620 1.786 -0.896
4.433 -4.032 4.924
As Sb Si
1 1 2
direct
0.500 0.500 0.250
0.500 0.500 0.750
0.000 0.000 0.026
0.000 0.000 0.474
```

Computed properties:
Space-group type: Cmmm (65)
Uncorrected formation energy, meV per atom: 550

***

(10)
The following is a DFT calculation (GGA-PBE) of crystalline SiSbAs2 at its relaxed geometry.

Cell and atoms, written as POSCAR:
```
SiSbAs2
1.0
3.466 0.000 0.000
0.000 4.823 0.000
0.000 0.000 4.867
As Sb Si
2 1 1
direct
0.000 0.000 0.000
0.500 0.500 0.000
0.500 0.000 0.500
0.000 0.500 0.500
```

Computed properties:
Space-group type: Pmmm (47)
Uncorrected formation energy, meV per atom: 495

***

(11)
The following is a DFT calculation (GGA-PBE) of crystalline SiSbAs2 at its relaxed geometry.

Cell and atoms, written as POSCAR:
```
SiSbAs2
1.0
-1.161 -3.464 -4.190
-0.680 -2.019 5.102
-3.179 -0.174 0.138
As Sb Si
2 1 1
direct
0.000 0.000 0.000
0.500 0.000 0.500
0.000 0.500 0.500
0.500 0.500 0.000
```

Computed properties:
Space-group type: C2/m (12)
Uncorrected formation energy, meV per atom: 496

***

(12)
The following is a DFT calculation (GGA-PBE) of crystalline SiSbAs2 at its relaxed geometry.

Cell and atoms, written as POSCAR:
```
SiSbAs2
1.0
0.000 3.435 3.435
3.435 0.000 3.435
3.435 3.435 0.000
Sb As Si
1 2 1
direct
0.500 0.500 0.500
0.250 0.250 0.250
0.750 0.750 0.750
0.000 0.000 0.000
```

Computed properties:
Space-group type: Fm-3m (225)
Uncorrected formation energy, meV per atom: 485

***

(13)
The following is a DFT calculation (GGA-PBE) of crystalline Si2SbAs at its relaxed geometry.

Cell and atoms, written as POSCAR:
```
Si2SbAs
1.0
-6.361 -1.732 -0.910
-4.223 -4.847 -1.722
-4.996 -3.939 1.954
As Sb Si
1 1 2
direct
0.250 0.250 0.250
0.750 0.750 0.750
0.994 0.994 0.994
0.506 0.506 0.506
```

Computed properties:
Space-group type: R-3m (166)
Uncorrected formation energy, meV per atom: 263

***

(14)
The following is a DFT calculation (GGA-PBE) of crystalline SiSb2As2 at its relaxed geometry.

Cell and atoms, written as POSCAR:
```
SiSb2As2
1.0
-2.756 2.756 4.288
2.756 -2.756 4.288
2.756 2.756 -4.288
Si Sb As
1 2 2
direct
0.000 0.000 0.000
0.672 0.672 0.000
0.328 0.328 0.000
0.250 0.750 0.500
0.750 0.250 0.500
```

Computed properties:
Space-group type: I4/mmm (139)
Uncorrected formation energy, meV per atom: 542

***

(15)
The following is a DFT calculation (GGA-PBE) of crystalline Si2SbAs at its relaxed geometry.

Cell and atoms, written as POSCAR:
```
Si2SbAs
1.0
-1.105 1.986 -2.167
-0.271 -2.945 -1.056
-8.059 -0.550 3.604
As Sb Si
1 1 2
direct
0.000 0.000 0.431
0.500 0.500 0.792
0.000 0.000 0.040
0.500 0.500 0.237
```

Computed properties:
Space-group type: Cmm2 (35)
Uncorrected formation energy, meV per atom: 449

***

(16)
The following is a DFT calculation (GGA-PBE) of crystalline Si2SbAs at its relaxed geometry.

Cell and atoms, written as POSCAR:
```
Si2SbAs
1.0
3.877 0.000 0.000
0.000 6.652 0.072
0.000 4.451 3.222
As Sb Si
1 1 2
direct
0.500 0.500 0.500
0.000 0.000 0.500
0.000 0.000 0.000
0.500 0.500 0.000
```

Computed properties:
Space-group type: P2/m (10)
Uncorrected formation energy, meV per atom: 284

***

(17)
The following is a DFT calculation (GGA-PBE) of crystalline SiSbAs2 at its relaxed geometry.

Cell and atoms, written as POSCAR:
```
SiSbAs2
1.0
-3.196 -0.423 0.357
0.384 -0.179 3.218
-0.991 7.966 0.561
As Sb Si
2 1 1
direct
0.000 0.000 0.923
0.000 0.000 0.577
0.500 0.500 0.250
0.500 0.500 0.750
```

Computed properties:
Space-group type: P4/mmm (123)
Uncorrected formation energy, meV per atom: 384

***

(18)
The following is a DFT calculation (GGA-PBE) of crystalline Si2SbAs at its relaxed geometry.

Cell and atoms, written as POSCAR:
```
Si2SbAs
1.0
-5.100 0.374 -1.514
-0.474 0.056 -5.312
2.572 -3.204 3.401
As Sb Si
1 1 2
direct
0.250 0.750 0.500
0.750 0.250 0.500
0.000 0.000 0.000
0.500 0.500 0.000
```

Computed properties:
Space-group type: I4/mmm (139)
Uncorrected formation energy, meV per atom: 622

***

(19)
The following is a DFT calculation (GGA-PBE) of crystalline SiSbAs2 at its relaxed geometry.

Cell and atoms, written as POSCAR:
```
SiSbAs2
1.0
3.936 0.000 0.000
0.000 3.936 -0.001
0.000 0.003 5.562
As Sb Si
2 1 1
direct
0.000 0.000 0.000
0.500 0.500 0.000
0.500 0.500 0.500
0.000 0.000 0.500
```

Computed properties:
Space-group type: P4/mmm (123)
Uncorrected formation energy, meV per atom: 223

***

(20)
The following is a DFT calculation (GGA-PBE) of crystalline SiSbAs2 at its relaxed geometry.

Cell and atoms, written as POSCAR:
```
SiSbAs2
1.0
-6.441 -0.424 -2.397
-6.236 -2.852 0.622
-6.709 0.951 1.221
As Sb Si
2 1 1
direct
0.012 0.012 0.012
0.488 0.488 0.488
0.250 0.250 0.250
0.750 0.750 0.750
```

Computed properties:
Space-group type: R-3m (166)
Uncorrected formation energy, meV per atom: 117